# Rb2PIrI6

A relaxed structure of Rb2PIrI6 (PBE, the Alexandria database).

POSCAR file:
```
Rb2PIrI6
1.0
-2.8282 -0.4976 -7.4245
-0.3144 -7.9276 0.6510
-6.8999 -3.8366 -1.3821
I P Ir Rb
6 1 1 2
direct
0.2415 0.2415 0.5170
0.7585 0.7585 0.4830
0.2443 0.2443 0.0000
0.7557 0.7557 0.0000
0.7557 0.2443 0.0000
0.2443 0.7557 0.0000
0.5000 0.5000 0.0000
0.0000 0.0000 0.0000
0.7500 0.2500 0.5000
0.2500 0.7500 0.5000
```

Output
**Space group**: I4/mmm (139)
**E_form (uncorrected)**: -4.12 eV/f.u.

# KAlSbOs2

A relaxed structure of KAlSbOs2 (PBE, the Alexandria database).

POSCAR file:
```
KAlSbOs2
1.0
-3.4247 -3.4901 0.6679
3.4891 -3.9237 -2.6126
2.0016 -1.1283 4.3676
Sb K Os Al
1 1 2 1
direct
0.0000 0.0000 0.0000
0.0000 0.5000 0.0000
0.0000 0.0000 0.5000
0.5000 0.0000 0.0000
0.5000 0.5000 0.5000
```

Output
**Space group**: P4/mmm (123)
**E_form (uncorrected)**: 9.11 eV/f.u.

# Er2CoSi

A relaxed structure of Er2CoSi (PBE, the Alexandria database).

POSCAR file:
```
Er2CoSi
1.0
3.9870 0.0000 0.0000
0.0000 5.2275 -2.0176
0.0000 -0.0262 7.8668
Er Co Si
4 2 2
direct
0.7500 0.2197 0.4122
0.2500 0.7803 0.5878
0.2500 0.7821 0.0587
0.7500 0.2179 0.9413
0.2500 0.3925 0.2228
0.7500 0.6076 0.7772
0.7500 0.6473 0.2892
0.2500 0.3527 0.7108
```

Output
**Space group**: P2_1/m (11)
**E_form (uncorrected)**: -2.17 eV/f.u.

# Pm6AsP4

A relaxed structure of Pm6AsP4 (PBE, the Alexandria database).

POSCAR file:
```
Pm6AsP4
1.0
4.1210 0.0000 0.0000
-2.0605 6.7973 0.0000
0.0000 0.0000 20.6298
Pm As P
12 2 8
direct
0.5000 0.0000 0.0000
0.5000 0.0000 0.5000
0.0443 0.0885 0.3379
0.9557 0.9115 0.6621
0.9557 0.9115 0.8379
0.0443 0.0885 0.1621
0.7743 0.5486 0.4180
0.2257 0.4514 0.5820
0.2257 0.4514 0.9180
0.7743 0.5486 0.0820
0.3181 0.6361 0.2500
0.6819 0.3639 0.7500
0.6624 0.3248 0.2500
0.3376 0.6752 0.7500
0.8630 0.7260 0.5428
0.4092 0.8184 0.1281
0.1370 0.2740 0.4572
0.5908 0.1816 0.8719
0.8630 0.7260 0.9572
0.1370 0.2740 0.0428
0.5908 0.1816 0.6281
0.4092 0.8184 0.3719
```

Output
**Energy of formation**: -1.434 eV/atom
**Space group**: Cmcm (63)

# BaIr3C

A relaxed structure of BaIr3C (PBE, the Alexandria database).

POSCAR file:
```
BaIr3C
1.0
-3.1776 1.4601 -2.6027
-0.7303 -4.0668 -1.3898
-2.8936 -0.5770 3.2090
C Ir Ba
1 3 1
direct
0.0000 0.0000 0.0000
0.0000 0.5000 0.0000
0.0000 0.0000 0.5000
0.5000 0.0000 0.0000
0.5000 0.5000 0.5000
```

Output
**Energy of formation**: 0.558 eV/atom
**Space group**: Pm-3m (221)

# Ho3Mg2Pb6

A relaxed structure of Ho3Mg2Pb6 (PBE, the Alexandria database).

POSCAR file:
```
Ho3Mg2Pb6
1.0
-2.9242 -1.0810 -3.6073
-2.7475 -2.5109 2.9797
-5.0095 13.6961 3.1076
Ho Mg Pb
3 2 6
direct
0.0000 0.0000 0.0000
0.8428 0.8428 0.6856
0.1572 0.1572 0.3144
0.3604 0.3604 0.7208
0.6396 0.6396 0.2792
0.0754 0.5754 0.1508
0.5754 0.0754 0.1508
0.9246 0.4246 0.8492
0.4246 0.9246 0.8492
0.7362 0.7362 0.4724
0.2638 0.2638 0.5276
```

Output
**Energy of formation**: -0.166 eV/atom
**Space group**: I4/mmm (139)

# MgNbAgHg2

A relaxed structure of MgNbAgHg2 (PBE, the Alexandria database).

POSCAR file:
```
MgNbAgHg2
1.0
-1.5603 0.2097 -4.6923
-0.9499 -4.6380 0.1085
-4.5909 0.9770 1.5702
Mg Nb Hg Ag
1 1 2 1
direct
0.0000 0.0000 0.0000
0.5000 0.5000 0.5000
0.0000 0.0000 0.5000
0.5000 0.0000 0.0000
0.0000 0.5000 0.0000
```

Output
**Energy of formation**: 1.029 eV/atom
**Space group**: P4/mmm (123)

# Li2ZrAsBr

A relaxed structure of Li2ZrAsBr (PBE, the Alexandria database).

POSCAR file:
```
Li2ZrAsBr
1.0
5.6414 0.0000 0.0000
0.0000 4.9869 0.0000
0.0000 0.0000 5.6414
As Br Zr Li
1 1 1 2
direct
0.5000 0.5000 0.5000
0.0000 0.5000 0.0000
0.0000 0.0000 0.0000
0.0000 0.0000 0.5000
0.5000 0.0000 0.0000
```

Output
**Space group**: P4/mmm (123)
**E_form (uncorrected)**: 3.49 eV/f.u.

# Y6As5Cl

A relaxed structure of Y6As5Cl (PBE, the Alexandria database).

POSCAR file:
```
Y6As5Cl
1.0
7.0332 0.1731 1.0694
1.7279 5.9832 3.4873
0.1173 0.0693 7.1274
Y As Cl
6 5 1
direct
0.7418 0.0863 0.3482
0.2582 0.5655 0.3482
0.2572 0.2623 0.0000
0.7428 0.7377 0.0000
0.7418 0.4345 0.6518
0.2582 0.9137 0.6518
0.5000 0.1619 0.6763
0.0000 0.3326 0.3348
0.5000 0.5000 0.0000
0.0000 0.6674 0.6652
0.5000 0.8381 0.3237
0.0000 0.0000 0.0000
```

Output
**Space group**: C2/m (12)
**E_form (uncorrected)**: -19.01 eV/f.u.

# MnAl2Co

A relaxed structure of MnAl2Co (PBE, the Alexandria database).

POSCAR file:
```
MnAl2Co
1.0
-1.2800 0.3514 2.3645
-2.5582 -3.9153 -2.3653
4.5371 -4.8870 3.1824
Mn Co Al
2 2 4
direct
0.0332 0.0674 0.7500
0.9668 0.9326 0.2500
0.7413 0.4869 0.7500
0.2587 0.5131 0.2500
0.3714 0.7454 0.9586
0.6286 0.2546 0.0414
0.6286 0.2546 0.4586
0.3714 0.7454 0.5414
```

Output
**Energy of formation**: -0.275 eV/atom
**Space group**: P2_1/m (11)

# TmMg5Au6

A relaxed structure of TmMg5Au6 (PBE, the Alexandria database).

POSCAR file:
```
TmMg5Au6
1.0
4.4770 -0.0266 1.5461
0.0360 6.7632 0.0120
0.0735 -0.0137 7.5134
Mg Tm Au
5 1 6
direct
0.6617 0.5000 0.6724
0.3297 0.0000 0.3404
0.0000 0.5000 0.0000
0.6703 0.0000 0.6596
0.3383 0.5000 0.3276
0.0000 0.0000 0.0000
0.8331 0.7421 0.3391
0.8331 0.2579 0.3391
0.5000 0.2585 0.0000
0.5000 0.7415 0.0000
0.1669 0.7421 0.6609
0.1669 0.2579 0.6609
```

Output
**Energy of formation**: -0.656 eV/atom
**Space group**: P2/m (10)

# KPuO2

A relaxed structure of KPuO2 (PBE, the Alexandria database).

POSCAR file:
```
KPuO2
1.0
-1.1086 -3.3267 -0.5848
2.3381 -2.5188 -0.9092
1.3191 -3.3403 5.6956
K Pu O
1 1 2
direct
0.4960 0.4960 0.5119
0.6674 0.6674 0.9977
0.0633 0.0633 0.8100
0.2732 0.2732 0.1803
```

Output
**Space group**: R3m (160)
**E_form (uncorrected)**: -9.43 eV/f.u.

# Tb3Pr4Dy

A relaxed structure of Tb3Pr4Dy (PBE, the Alexandria database).

POSCAR file:
```
Tb3Pr4Dy
1.0
-0.5927 -0.2791 3.4534
-5.8703 -3.3816 -1.2809
8.8493 -8.0657 -0.9218
Pr Tb Dy
4 3 1
direct
0.7407 0.2346 0.4815
0.2593 0.7654 0.5185
0.1231 0.3675 0.2462
0.8769 0.6325 0.7538
0.0000 0.5000 0.0000
0.1220 0.8811 0.2441
0.8780 0.1189 0.7559
0.5000 0.0000 0.0000
```

Output
**Energy of formation**: 0.162 eV/atom
**Space group**: C2/m (12)

# K4CoRh

A relaxed structure of K4CoRh (PBE, the Alexandria database).

POSCAR file:
```
K4CoRh
1.0
0.0000 4.6486 4.6486
4.6486 0.0000 4.6486
4.6486 4.6486 0.0000
K Co Rh
4 1 1
direct
0.8743 0.3752 0.3752
0.3752 0.3752 0.8743
0.3752 0.8743 0.3752
0.3752 0.3752 0.3752
0.0000 0.0000 0.0000
0.7500 0.7500 0.7500
```

Output
**Energy of formation**: 1.226 eV/atom
**Space group**: F-43m (216)

# RbSb3Pd5

A relaxed structure of RbSb3Pd5 (PBE, the Alexandria database).

POSCAR file:
```
RbSb3Pd5
1.0
4.1982 0.0000 0.0000
-2.0991 7.0336 0.0000
0.0000 0.0000 13.6084
Rb Sb Pd
2 6 10
direct
0.8353 0.6705 0.7500
0.1647 0.3295 0.2500
0.3787 0.7575 0.9598
0.8885 0.7770 0.2500
0.3787 0.7575 0.5402
0.6213 0.2425 0.4598
0.1115 0.2230 0.7500
0.6213 0.2425 0.0402
0.8069 0.6138 0.4346
0.1931 0.3862 0.9346
0.0000 0.0000 0.5000
0.0000 0.0000 0.0000
0.4511 0.9023 0.1439
0.5489 0.0977 0.8561
0.5489 0.0977 0.6439
0.8069 0.6138 0.0654
0.1931 0.3862 0.5654
0.4511 0.9023 0.3561
```

Output
**Space group**: Cmcm (63)
**E_form (uncorrected)**: -4.29 eV/f.u.

# Ac5Nd4Sm2

A relaxed structure of Ac5Nd4Sm2 (PBE, the Alexandria database).

POSCAR file:
```
Ac5Nd4Sm2
1.0
3.7174 0.0000 0.0000
0.0000 10.6831 -6.7528
0.0000 -5.9826 14.8713
Ac Nd Sm
5 4 2
direct
0.0000 0.5971 0.2812
0.0000 0.2235 0.1980
0.0000 0.5000 0.0000
0.0000 0.7765 0.8020
0.0000 0.4029 0.7188
0.5000 0.6825 0.5377
0.5000 0.1561 0.9230
0.5000 0.3175 0.4623
0.5000 0.8439 0.0770
0.0000 0.0309 0.6492
0.0000 0.9691 0.3508
```

Output
**Energy of formation**: 0.147 eV/atom
**Space group**: P2/m (10)

# LaHo2ThN4

A relaxed structure of LaHo2ThN4 (PBE, the Alexandria database).

POSCAR file:
```
LaHo2ThN4
1.0
3.5800 0.0000 0.0000
0.0000 6.1967 0.1182
0.0000 -2.1603 5.8054
La Ho Th N
1 2 1 4
direct
0.5000 0.5000 0.0000
0.5000 0.0000 0.5000
0.0000 0.5000 0.5000
0.0000 0.0000 0.0000
0.5000 0.2451 0.2589
0.5000 0.7549 0.7411
0.0000 0.2362 0.7381
0.0000 0.7638 0.2619
```

Output
**Space group**: P2/m (10)
**E_form (uncorrected)**: -12.65 eV/f.u.

# La2DyTh

A relaxed structure of La2DyTh (PBE, the Alexandria database).

POSCAR file:
```
La2DyTh
1.0
5.8068 0.0000 0.0000
2.9034 5.0288 0.0000
2.9034 1.6763 4.7412
La Th Dy
2 1 1
direct
0.2500 0.2500 0.2500
0.7500 0.7500 0.7500
0.5000 0.5000 0.5000
0.0000 0.0000 0.0000
```

Output
**Energy of formation**: 0.208 eV/atom
**Space group**: Fm-3m (225)

# PuPaPd14

A relaxed structure of PuPaPd14 (PBE, the Alexandria database).

POSCAR file:
```
PuPaPd14
1.0
5.8382 -0.0124 0.0000
0.0124 5.8382 0.0000
0.0000 0.0000 7.8027
Pu Pa Pd
1 1 14
direct
0.3750 0.3750 0.5000
0.8750 0.8750 0.5000
0.8750 0.8750 0.0000
0.3750 0.3750 0.0000
0.8750 0.3750 0.5000
0.8750 0.3750 0.0000
0.3750 0.8750 0.5000
0.3750 0.8750 0.0000
0.6282 0.1218 0.2463
0.6282 0.1218 0.7537
0.1218 0.6282 0.2463
0.1218 0.6282 0.7537
0.6282 0.6282 0.2463
0.6282 0.6282 0.7537
0.1218 0.1218 0.2463
0.1218 0.1218 0.7537
```

Output
**Energy of formation**: -0.387 eV/atom
**Space group**: P4/mmm (123)

# CaAl2Ga2

A relaxed structure of CaAl2Ga2 (PBE, the Alexandria database).

POSCAR file:
```
CaAl2Ga2
1.0
-6.4174 3.0384 3.5107
-4.2879 -1.5814 -6.4694
-0.7197 -2.8866 1.1826
Ca Al Ga
2 4 4
direct
0.0000 0.0000 0.0000
0.5000 0.5000 0.0000
0.1529 0.6529 0.5000
0.6529 0.8471 0.5000
0.8471 0.3471 0.5000
0.3471 0.1529 0.5000
0.3626 0.8626 0.0000
0.8626 0.6374 0.0000
0.6374 0.1374 0.0000
0.1374 0.3626 0.0000
```

Output
**Energy of formation**: -0.129 eV/atom
**Space group**: P4/mbm (127)

# NaYTl2F6

A relaxed structure of NaYTl2F6 (PBE, the Alexandria database).

POSCAR file:
```
NaYTl2F6
1.0
-3.4353 -1.9142 -4.9905
-0.9690 -5.6129 2.8200
-7.4267 3.2347 3.8862
Na Y Tl F
2 2 4 12
direct
0.5000 0.0000 0.5000
0.0000 0.5000 0.0000
0.5000 0.0000 0.0000
0.0000 0.5000 0.5000
0.0039 0.9806 0.2498
0.5039 0.5194 0.7498
0.9961 0.0194 0.7502
0.4961 0.4806 0.2502
0.2894 0.7290 0.0315
0.7894 0.7710 0.5315
0.7106 0.2710 0.9685
0.2106 0.2290 0.4685
0.2699 0.7125 0.4704
0.7699 0.7875 0.9704
0.7301 0.2875 0.5296
0.2301 0.2125 0.0296
0.9412 0.5119 0.2588
0.4412 0.9881 0.7588
0.0588 0.4881 0.7412
0.5588 0.0119 0.2412
```

Output
**Space group**: P2_1/c (14)
**E_form (uncorrected)**: -29.11 eV/f.u.

# AcTaAlIr2

A relaxed structure of AcTaAlIr2 (PBE, the Alexandria database).

POSCAR file:
```
AcTaAlIr2
1.0
-0.5813 -3.8860 -1.6251
-0.5651 -1.5537 3.9175
-5.0950 3.7405 -1.5591
Ac Ta Al Ir
1 1 1 2
direct
0.0000 0.0000 0.0000
0.2500 0.7500 0.5000
0.7500 0.2500 0.5000
0.6196 0.6196 0.2392
0.3804 0.3804 0.7608
```

Output
**Energy of formation**: -0.711 eV/atom
**Space group**: I-4m2 (119)

# LiAgPCl2

A relaxed structure of LiAgPCl2 (PBE, the Alexandria database).

POSCAR file:
```
LiAgPCl2
1.0
-4.1485 -1.5583 -1.6635
2.1451 -3.8372 -1.7550
-0.8135 -2.4193 4.2952
P Li Ag Cl
1 1 1 2
direct
0.0000 0.0000 0.5000
0.0000 0.0000 0.0000
0.5000 0.5000 0.5000
0.0000 0.5000 0.0000
0.5000 0.0000 0.0000
```

Output
**Space group**: P4/mmm (123)
**E_form (uncorrected)**: 0.46 eV/f.u.

Calculated density (g/cm³)
5.307; 6.607; 8.549; 6.143; 14.552; 8.985; 8.965; 2.720; 5.301; 5.497; 10.782; 7.455; 7.242; 2.630; 8.123; 7.589; 9.689; 8.064; 12.268; 3.861; 5.809; 13.033; 3.214
Total magnetic moment (Bohr magnetons per cell)
0.00; 1.29; 0.00; 0.00; 0.00; 0.00; 0.00; 1.79; 0.00; 3.51; 0.00; 5.00; 0.00; 2.11; 0.00; 0.00; 0.00; 0.10; 4.33; 0.00; 0.00; 0.00; 2.94